A plane-wave DFT calculation with PBE was carried out for TePd after structural relaxation.

Cell lengths 11.2205, 11.2205, 3.7615 Å; angles 90.00, 90.00, 120.00 degrees
Space group R3m (No. 160, hexagonal axes)
Inequivalent atoms, fractional coordinates:
Te1 0.2193 0.4386 0.0000 [9 per cell]
Pd1 0.0853 0.1705 0.8425 [9 per cell]

Total DFT energy (no corrections), eV/atom: -4.520



A plane-wave DFT calculation with PBE was carried out for PuNi2 after structural relaxation.

Cell lengths 4.9819, 4.9819, 4.4472 Å; angles 90.00, 90.00, 90.00 degrees
Space group P4_2/mnm (No. 136)
Inequivalent atoms, fractional coordinates:
Pu1 0.0000 0.0000 0.0000 [2 per cell]
Ni1 0.1671 0.1671 0.5000 [4 per cell]

Magnetic moment, μB/atom: 1.672
ΔE_f, eV/f.u.: 2.5



A plane-wave DFT calculation with PBE was carried out for ErZr after structural relaxation.

Cell lengths 5.3307, 16.9992, 5.8460 Å; angles 90.00, 90.00, 90.00 degrees
Space group Amm2 (No. 38)
Inequivalent atoms, fractional coordinates:
Er1 0.0000 0.0000 0.0000 [2 per cell]
Er2 0.0000 0.1032 0.5175 [4 per cell]
Er3 0.5000 0.1051 0.1687 [4 per cell]
Zr1 0.0000 0.2078 0.9969 [4 per cell]
Zr2 0.5000 0.0000 0.6693 [2 per cell]
Zr3 0.5000 0.2033 0.6834 [4 per cell]

Magnetic moment, μB/atom: 0.011
ΔE_f, eV/f.u.: 0.1



A plane-wave DFT calculation with PBE was carried out for ErMgZr after structural relaxation.

Cell lengths 6.9993, 6.9993, 6.9993 Å; angles 90.00, 90.00, 90.00 degrees
Space group F-43m (No. 216)
Inequivalent atoms, fractional coordinates:
Er1 0.0000 0.0000 0.0000 [4 per cell]
Mg1 0.2500 0.2500 0.2500 [4 per cell]
Zr1 0.0000 0.0000 0.5000 [4 per cell]

Energy above the lowest structure with this stoichiometry, eV per formula unit: 0.00
Magnetic moment, μB/atom: 0.310



A plane-wave DFT calculation with PBE was carried out for LiAl2Tc after structural relaxation.

Cell lengths 2.8902, 2.8902, 16.9789 Å; angles 90.00, 90.00, 120.00 degrees
Space group P6_3/mmc (No. 194)
Inequivalent atoms, fractional coordinates:
Li1 0.3333 0.6667 0.2500 [2 per cell]
Al1 0.3333 0.6667 0.6181 [4 per cell]
Tc1 0.0000 0.0000 0.0000 [2 per cell]

Energy above the lowest structure with this stoichiometry, eV per formula unit: 0.00
Magnetic moment, μB/atom: 0.001



A plane-wave DFT calculation with PBE was carried out for Li4Tl2PtAu after structural relaxation.

Cell lengths 4.6076, 4.6076, 6.5225 Å; angles 90.00, 90.00, 90.00 degrees
Space group P-4m2 (No. 115)
Inequivalent atoms, fractional coordinates:
Li1 0.0000 0.0000 0.0000 [1 per cell]
Li2 0.0000 0.5000 0.2468 [2 per cell]
Li3 0.5000 0.5000 0.5000 [1 per cell]
Tl1 0.0000 0.5000 0.7606 [2 per cell]
Pt1 0.5000 0.5000 0.0000 [1 per cell]
Au1 0.0000 0.0000 0.5000 [1 per cell]

Magnetic moment, μB/atom: 0.001
Total DFT energy (no corrections), eV/atom: -3.094



A plane-wave DFT calculation with PBE was carried out for YNbRe after structural relaxation.

Cell lengths 6.4696, 6.4696, 6.4696 Å; angles 90.00, 90.00, 90.00 degrees
Space group F-43m (No. 216)
Inequivalent atoms, fractional coordinates:
Y1 0.0000 0.0000 0.0000 [4 per cell]
Nb1 0.0000 0.0000 0.5000 [4 per cell]
Re1 0.2500 0.2500 0.7500 [4 per cell]

Energy above the lowest structure with this stoichiometry, eV per formula unit: 0.00
Magnetic moment, μB/atom: 0.012
ΔE_f, eV/f.u.: 1.3



A plane-wave DFT calculation with PBE was carried out for SmGdGa2 after structural relaxation.

Cell lengths 4.1077, 4.4151, 11.0776 Å; angles 90.00, 90.00, 90.00 degrees
Space group Amm2 (No. 38)
Inequivalent atoms, fractional coordinates:
Sm1 0.0000 0.0000 0.0000 [2 per cell]
Gd1 0.5000 0.0000 0.2793 [2 per cell]
Ga1 0.0000 0.0000 0.7154 [2 per cell]
Ga2 0.5000 0.0000 0.5666 [2 per cell]

Magnetic moment, μB/atom: 0.034
Total DFT energy (no corrections), eV/atom: -4.471



A plane-wave DFT calculation with PBE was carried out for TaHgOs after structural relaxation.

Cell lengths 6.2691, 6.2691, 6.2691 Å; angles 90.00, 90.00, 90.00 degrees
Space group F-43m (No. 216)
Inequivalent atoms, fractional coordinates:
Ta1 0.0000 0.0000 0.0000 [4 per cell]
Hg1 0.0000 0.0000 0.5000 [4 per cell]
Os1 0.2500 0.2500 0.7500 [4 per cell]

Energy above the lowest structure with this stoichiometry, eV per formula unit: 0.00
Magnetic moment, μB/atom: 0.001
ΔE_f, eV/f.u.: 1.9



A plane-wave DFT calculation with PBE was carried out for AlTcIr2 after structural relaxation.

Cell lengths 6.1550, 6.1550, 6.1550 Å; angles 90.00, 90.00, 90.00 degrees
Space group F-43m (No. 216)
Inequivalent atoms, fractional coordinates:
Al1 0.0000 0.0000 0.0000 [4 per cell]
Tc1 0.2500 0.2500 0.2500 [4 per cell]
Ir1 0.0000 0.0000 0.5000 [4 per cell]
Ir2 0.2500 0.2500 0.7500 [4 per cell]

Magnetic moment, μB/atom: 0.006
Total DFT energy (no corrections), eV/atom: -8.091



A plane-wave DFT calculation with PBE was carried out for NdGa4Ni after structural relaxation.

Cell lengths 4.1654, 15.5459, 6.5880 Å; angles 90.00, 90.00, 90.00 degrees
Space group Cmcm (No. 63)
Inequivalent atoms, fractional coordinates:
Nd1 0.0000 0.1163 0.2500 [4 per cell]
Ga1 0.0000 0.0736 0.7500 [4 per cell]
Ga2 0.0000 0.3128 0.0526 [8 per cell]
Ga3 0.0000 0.5000 0.0000 [4 per cell]
Ni1 0.0000 0.2239 0.7500 [4 per cell]

Magnetic moment, μB/atom: 0.001
Total DFT energy (no corrections), eV/atom: -4.292



A plane-wave DFT calculation with PBE was carried out for HgSb after structural relaxation.

Cell lengths 6.1566, 4.3089, 8.6681 Å; angles 90.00, 90.00, 90.00 degrees
Space group Pmma (No. 51)
Inequivalent atoms, fractional coordinates:
Hg1 0.0000 0.0000 0.0000 [2 per cell]
Hg2 0.2500 0.5000 0.2374 [2 per cell]
Sb1 0.2500 0.0000 0.5186 [2 per cell]
Sb2 0.2500 0.5000 0.7495 [2 per cell]

Energy above the lowest structure with this stoichiometry, eV per formula unit: 0.00